# 1
Here is an optimized crystal structure of Tb8Pr2Er from Alexandria. Energies are from PBE.

Cell: 5.067 8.018 9.480 Å, 104.73 105.50 90.00°
Fractional positions:
1 Pr 0.773 0.362 0.547
2 Pr 0.227 0.638 0.453
3 Tb 0.589 0.452 0.179
4 Tb 0.956 0.272 0.911
5 Tb 0.865 0.823 0.731
6 Tb 0.135 0.177 0.269
7 Tb 0.319 0.092 0.638
8 Tb 0.681 0.908 0.362
9 Tb 0.044 0.728 0.089
10 Tb 0.411 0.548 0.821
11 Er 0.500 0.000 0.000

Calculated values
Distance to the lowest polymorph of the same formula (kJ/mol of atoms): 0.0
Space group: C2/m, No. 12


# 2
Here is an optimized crystal structure of TbPrEr from Alexandria. Energies are from PBE.

Cell: 4.196 4.196 6.354 Å, 109.28 109.28 90.00°
Fractional positions:
1 Pr 0.998 0.998 0.995
2 Er 0.328 0.328 0.657
3 Tb 0.674 0.674 0.348

Calculated values
Distance to the lowest polymorph of the same formula (kJ/mol of atoms): 8.2
Space group: I4mm, No. 107


# 3
Here is an optimized crystal structure of Tb3Pr2Er from Alexandria. Energies are from PBE.

Cell: 5.138 10.148 12.931 Å, 39.60 78.54 75.33°
Fractional positions:
1 Tb 0.766 0.117 0.351
2 Tb 0.234 0.883 0.649
3 Tb 0.927 0.019 0.128
4 Tb 0.308 0.331 0.053
5 Tb 0.692 0.669 0.947
6 Tb 0.073 0.981 0.872
7 Er 0.456 0.244 0.844
8 Er 0.544 0.756 0.156
9 Pr 0.147 0.442 0.264
10 Pr 0.853 0.558 0.736
11 Pr 0.602 0.228 0.567
12 Pr 0.398 0.772 0.433

Calculated values
Distance to the lowest polymorph of the same formula (kJ/mol of atoms): 7.6
Space group: C2/m, No. 12


# 4
Here is an optimized crystal structure of Tb3Pr6Er from Alexandria. Energies are from PBE.

Cell: 6.198 9.522 11.831 Å, 90.00 90.29 90.00°
Fractional positions:
1 Pr 0.871 0.033 0.750
2 Pr 0.496 0.845 0.920
3 Pr 0.504 0.157 0.420
4 Pr 0.504 0.155 0.080
5 Pr 0.004 0.345 0.580
6 Pr 0.129 0.967 0.250
7 Pr 0.629 0.533 0.750
8 Pr 0.996 0.657 0.080
9 Pr 0.996 0.655 0.420
10 Pr 0.496 0.843 0.580
11 Pr 0.004 0.343 0.920
12 Pr 0.371 0.467 0.250
13 Tb 0.609 0.821 0.250
14 Tb 0.891 0.321 0.250
15 Tb 0.391 0.179 0.750
16 Tb 0.109 0.679 0.750
17 Tb 0.500 0.500 0.000
18 Tb 0.000 0.000 0.500
19 Er 0.500 0.500 0.500
20 Er 0.000 0.000 0.000

Calculated values
Distance to the lowest polymorph of the same formula (kJ/mol of atoms): 5.1
Space group: P2_1/c, No. 14


# 5
Here is an optimized crystal structure of Tb5Pr4Er3 from Alexandria. Energies are from PBE.

Cell: 5.955 8.641 9.725 Å, 105.45 72.17 69.84°
Fractional positions:
1 Pr 0.836 0.946 0.381
2 Pr 0.139 0.777 0.946
3 Pr 0.861 0.223 0.054
4 Pr 0.164 0.054 0.619
5 Tb 0.214 0.457 0.115
6 Tb 0.368 0.061 0.203
7 Tb 0.500 0.500 0.500
8 Tb 0.786 0.543 0.885
9 Tb 0.632 0.939 0.797
10 Er 0.477 0.311 0.735
11 Er 0.000 0.500 0.500
12 Er 0.523 0.689 0.265

Calculated values
Space group: C2/m, No. 12


# 6
Here is an optimized crystal structure of Tb12Pr2Er from Alexandria. Energies are from PBE.

Cell: 6.673 6.673 25.091 Å, 83.44 83.44 115.46°
Fractional positions:
1 Pr 0.045 0.545 0.272
2 Pr 0.547 0.047 0.272
3 Pr 0.455 0.955 0.728
4 Pr 0.953 0.453 0.728
5 Tb 0.400 0.900 0.134
6 Tb 0.683 0.183 0.427
7 Tb 0.999 0.997 0.670
8 Tb 0.817 0.317 0.573
9 Tb 0.331 0.335 0.555
10 Tb 0.835 0.831 0.555
11 Tb 0.899 0.399 0.135
12 Tb 0.323 0.823 0.571
13 Tb 0.945 0.945 0.072
14 Tb 0.900 0.899 0.801
15 Tb 0.497 0.499 0.670
16 Tb 0.101 0.100 0.199
17 Tb 0.600 0.601 0.199
18 Tb 0.399 0.400 0.801
19 Tb 0.555 0.555 0.928
20 Tb 0.665 0.669 0.445
21 Tb 0.501 0.503 0.330
22 Tb 0.100 0.600 0.866
23 Tb 0.003 0.001 0.330
24 Tb 0.445 0.445 0.072
25 Tb 0.169 0.165 0.445
26 Tb 0.177 0.677 0.429
27 Tb 0.601 0.101 0.865
28 Tb 0.055 0.055 0.928
29 Er 0.500 0.000 0.000
30 Er 0.000 0.500 0.000

Calculated values
Space group: C2/m, No. 12


# 7
Here is an optimized crystal structure of Tb4PrEr2 from Alexandria. Energies are from PBE.

Cell: 3.489 8.545 8.721 Å, 115.69 89.89 101.79°
Fractional positions:
1 Tb 0.362 0.724 0.591
2 Tb 0.638 0.276 0.409
3 Tb 0.078 0.158 0.700
4 Tb 0.922 0.842 0.300
5 Pr 0.000 0.000 0.000
6 Er 0.775 0.552 0.852
7 Er 0.225 0.448 0.148

Calculated values
Space group: P-1, No. 2


# 8
Here is an optimized crystal structure of Tb12Pr2Er5 from Alexandria. Energies are from PBE.

Cell: 9.231 12.435 8.549 Å, 132.66 90.00 111.79°
Fractional positions:
1 Tb 0.906 0.812 0.694
2 Tb 0.024 0.686 0.929
3 Tb 0.662 0.686 0.929
4 Tb 0.818 0.252 0.599
5 Tb 0.094 0.188 0.306
6 Tb 0.976 0.314 0.071
7 Tb 0.560 0.119 0.789
8 Tb 0.434 0.252 0.599
9 Tb 0.338 0.314 0.071
10 Tb 0.182 0.748 0.401
11 Tb 0.440 0.881 0.211
12 Tb 0.566 0.748 0.401
13 Er 0.769 0.537 0.112
14 Er 0.303 0.605 0.615
15 Er 0.231 0.463 0.888
16 Er 0.697 0.395 0.385
17 Er 0.000 0.000 0.500
18 Pr 0.316 0.000 0.000
19 Pr 0.684 0.000 0.000

Calculated values
Distance to the lowest polymorph of the same formula (kJ/mol of atoms): 4.3
Space group: C2/m, No. 12


# 9
Here is an optimized crystal structure of TbPr4Er5 from Alexandria. Energies are from PBE.

Cell: 3.528 11.360 8.750 Å, 90.10 101.58 90.00°
Fractional positions:
1 Er 0.173 0.952 0.347
2 Er 0.828 0.454 0.655
3 Er 0.172 0.546 0.345
4 Er 0.827 0.048 0.653
5 Er 0.500 0.500 0.000
6 Pr 0.967 0.251 0.933
7 Pr 0.342 0.750 0.681
8 Pr 0.658 0.250 0.319
9 Pr 0.033 0.749 0.067
10 Tb 0.500 0.000 0.000

Calculated values
Distance to the lowest polymorph of the same formula (kJ/mol of atoms): 0.0
Space group: P-1, No. 2


# 10
Here is an optimized crystal structure of Tb2Pr4Er3 from Alexandria. Energies are from PBE.

Cell: 6.406 9.904 9.904 Å, 74.65 93.83 93.83°
Fractional positions:
1 Er 0.418 0.173 0.024
2 Er 0.750 0.520 0.480
3 Er 0.582 0.827 0.976
4 Er 0.250 0.480 0.520
5 Er 0.082 0.976 0.827
6 Er 0.918 0.024 0.173
7 Pr 0.479 0.813 0.308
8 Pr 0.021 0.692 0.187
9 Pr 0.421 0.470 0.183
10 Pr 0.079 0.817 0.530
11 Pr 0.921 0.183 0.470
12 Pr 0.979 0.308 0.813
13 Pr 0.579 0.530 0.817
14 Pr 0.521 0.187 0.692
15 Tb 0.399 0.129 0.365
16 Tb 0.101 0.635 0.871
17 Tb 0.899 0.365 0.129
18 Tb 0.601 0.871 0.635

Calculated values
Distance to the lowest polymorph of the same formula (kJ/mol of atoms): 9.4
Space group: C2/c, No. 15


# 11
Here is an optimized crystal structure of Tb6Pr3Er2 from Alexandria. Energies are from PBE.

Cell: 4.784 4.784 17.014 Å, 98.08 98.08 90.00°
Fractional positions:
1 Er 0.454 0.454 0.908
2 Er 0.546 0.546 0.092
3 Tb 0.381 0.881 0.761
4 Tb 0.692 0.692 0.384
5 Tb 0.308 0.308 0.616
6 Tb 0.119 0.619 0.239
7 Tb 0.619 0.119 0.239
8 Tb 0.881 0.381 0.761
9 Pr 0.204 0.204 0.408
10 Pr 0.796 0.796 0.592
11 Pr 0.000 0.000 0.000

Calculated values
Distance to the lowest polymorph of the same formula (kJ/mol of atoms): 24.4
Space group: I4/mmm, No. 139


# 12
Here is an optimized crystal structure of TbPr5Er4 from Alexandria. Energies are from PBE.

Cell: 3.598 10.565 9.329 Å, 83.80 101.12 90.00°
Fractional positions:
1 Pr 0.810 0.601 0.620
2 Pr 0.190 0.399 0.380
3 Pr 0.500 0.500 0.000
4 Pr 0.141 0.773 0.283
5 Pr 0.859 0.227 0.717
6 Er 0.682 0.085 0.365
7 Er 0.046 0.235 0.093
8 Er 0.318 0.915 0.635
9 Er 0.954 0.765 0.907
10 Tb 0.500 0.000 0.000

Calculated values
Distance to the lowest polymorph of the same formula (kJ/mol of atoms): 11.6
Space group: C2/m, No. 12


# 13
Here is an optimized crystal structure of TbPr2Er from Alexandria. Energies are from PBE.

Cell: 3.640 3.640 10.155 Å, 90.00 90.00 90.00°
Fractional positions:
1 Pr 0.000 0.000 0.248
2 Pr 0.000 0.000 0.752
3 Tb 0.500 0.500 0.500
4 Er 0.500 0.500 0.000

Calculated values
Distance to the lowest polymorph of the same formula (kJ/mol of atoms): 0.8
Space group: P4/mmm, No. 123


# 14
Here is an optimized crystal structure of TbPr2Er from Alexandria. Energies are from PBE.

Cell: 5.762 5.762 5.762 Å, 60.00 60.00 60.00°
Fractional positions:
1 Tb 0.000 0.000 0.000
2 Er 0.500 0.500 0.500
3 Pr 0.250 0.250 0.250
4 Pr 0.750 0.750 0.750

Calculated values
Distance to the lowest polymorph of the same formula (kJ/mol of atoms): 9.0
Space group: Fm-3m, No. 225


# 15
Here is an optimized crystal structure of Tb3Pr2Er3 from Alexandria. Energies are from PBE.

Cell: 3.598 6.225 12.098 Å, 75.06 81.42 89.99°
Fractional positions:
1 Er 0.877 0.544 0.246
2 Er 0.123 0.456 0.754
3 Er 0.000 0.000 0.000
4 Pr 0.750 0.749 0.501
5 Pr 0.250 0.251 0.499
6 Tb 0.500 0.500 0.000
7 Tb 0.623 0.956 0.754
8 Tb 0.377 0.044 0.246

Calculated values
Distance to the lowest polymorph of the same formula (kJ/mol of atoms): 0.0
Space group: C2/m, No. 12


# 16
Here is an optimized crystal structure of Tb3Pr6Er from Alexandria. Energies are from PBE.

Cell: 6.470 11.177 11.177 Å, 121.05 90.00 90.00°
Fractional positions:
1 Pr 0.359 0.518 0.939
2 Pr 0.051 0.372 0.287
3 Pr 0.158 0.720 0.280
4 Pr 0.379 0.966 0.034
5 Pr 0.879 0.034 0.966
6 Pr 0.051 0.713 0.628
7 Pr 0.658 0.280 0.720
8 Pr 0.551 0.287 0.372
9 Pr 0.859 0.482 0.061
10 Pr 0.359 0.061 0.482
11 Pr 0.859 0.939 0.518
12 Pr 0.551 0.628 0.713
13 Tb 0.468 0.285 0.054
14 Tb 0.968 0.054 0.285
15 Tb 0.468 0.946 0.715
16 Tb 0.583 0.615 0.385
17 Tb 0.968 0.715 0.946
18 Tb 0.083 0.385 0.615
19 Er 0.611 0.807 0.193
20 Er 0.111 0.193 0.807

Calculated values
Distance to the lowest polymorph of the same formula (kJ/mol of atoms): 0.0
Space group: Cmc2_1, No. 36


# 17
Here is an optimized crystal structure of Tb9PrEr2 from Alexandria. Energies are from PBE.

Cell: 5.039 5.039 15.126 Å, 90.00 90.00 90.00°
Fractional positions:
1 Tb 0.500 0.000 0.170
2 Tb 0.500 0.000 0.830
3 Tb 0.500 0.500 0.664
4 Tb 0.500 0.500 0.336
5 Tb 0.500 0.500 0.000
6 Tb 0.500 0.000 0.500
7 Tb 0.000 0.500 0.830
8 Tb 0.000 0.500 0.500
9 Tb 0.000 0.500 0.170
10 Er 0.000 0.000 0.335
11 Er 0.000 0.000 0.665
12 Pr 0.000 0.000 0.000

Calculated values
Distance to the lowest polymorph of the same formula (kJ/mol of atoms): 0.0
Space group: P4/mmm, No. 123


# 18
Here is an optimized crystal structure of Tb2Pr12Er5 from Alexandria. Energies are from PBE.

Cell: 9.380 9.278 8.795 Å, 91.47 90.00 120.37°
Fractional positions:
1 Pr 0.431 0.256 0.677
2 Pr 0.665 0.695 0.764
3 Pr 0.335 0.305 0.236
4 Pr 0.970 0.305 0.236
5 Pr 0.084 0.167 0.884
6 Pr 0.030 0.695 0.764
7 Pr 0.563 0.126 0.342
8 Pr 0.437 0.874 0.658
9 Pr 0.825 0.256 0.677
10 Pr 0.916 0.833 0.116
11 Pr 0.569 0.744 0.323
12 Pr 0.175 0.744 0.323
13 Er 0.770 0.540 0.432
14 Er 0.701 0.403 0.028
15 Er 0.000 0.000 0.500
16 Er 0.230 0.460 0.568
17 Er 0.299 0.597 0.972
18 Tb 0.330 0.000 0.000
19 Tb 0.670 0.000 0.000

Calculated values
Distance to the lowest polymorph of the same formula (kJ/mol of atoms): 0.0
Space group: C2/m, No. 12


# 19
Here is an optimized crystal structure of Tb5Pr4Er2 from Alexandria. Energies are from PBE.

Cell: 3.553 11.614 11.001 Å, 121.86 99.29 90.00°
Fractional positions:
1 Pr 0.000 0.742 0.000
2 Pr 0.592 0.592 0.185
3 Pr 0.000 0.258 0.000
4 Pr 0.408 0.408 0.815
5 Er 0.204 0.204 0.408
6 Er 0.796 0.796 0.592
7 Tb 0.819 0.527 0.638
8 Tb 0.500 0.000 0.000
9 Tb 0.181 0.473 0.362
10 Tb 0.819 0.111 0.638
11 Tb 0.181 0.889 0.362

Calculated values
Distance to the lowest polymorph of the same formula (kJ/mol of atoms): 10.9
Space group: Immm, No. 71


# 20
Here is an optimized crystal structure of Tb8Pr3Er from Alexandria. Energies are from PBE.

Cell: 8.427 8.427 8.427 Å, 95.03 117.14 117.14°
Fractional positions:
1 Er 0.000 0.000 0.000
2 Pr 0.500 0.750 0.250
3 Pr 0.500 0.250 0.750
4 Pr 0.000 0.500 0.500
5 Tb 0.000 0.767 0.255
6 Tb 0.488 0.233 0.233
7 Tb 0.000 0.880 0.630
8 Tb 0.250 0.370 0.370
9 Tb 0.000 0.630 0.880
10 Tb 0.750 0.120 0.120
11 Tb 0.000 0.255 0.767
12 Tb 0.512 0.745 0.745

Calculated values
Space group: I-42m, No. 121


Number 1: total moment 0.00 μB per cell, energy of formation from the pure elements 0.2 eV/f.u.. Number 2: total moment 0.00 μB per cell, energy of formation from the pure elements 0.3 eV/f.u.. Number 3: total moment 0.00 μB per cell, energy of formation from the pure elements 0.9 eV/f.u.. Number 4: total moment 0.00 μB per cell, energy of formation from the pure elements 1.9 eV/f.u.. Number 5: total moment 0.45 μB per cell, energy of formation from the pure elements 2.7 eV/f.u.. Number 6: total moment 0.00 μB per cell, energy of formation from the pure elements 1.7 eV/f.u.. Number 7: total moment 0.00 μB per cell, energy of formation from the pure elements 0.9 eV/f.u.. Number 8: total moment 0.00 μB per cell, energy of formation from the pure elements 2.6 eV/f.u.. Number 9: total moment 0.00 μB per cell, energy of formation from the pure elements 1.9 eV/f.u.. Number 10: total moment 0.00 μB per cell, energy of formation from the pure elements 1.3 eV/f.u.. Number 11: total moment 0.00 μB per cell, energy of formation from the pure elements 3.0 eV/f.u.. Number 12: total moment 0.00 μB per cell, energy of formation from the pure elements 1.4 eV/f.u.. Number 13: total moment 0.00 μB per cell, energy of formation from the pure elements 0.1 eV/f.u.. Number 14: total moment 0.00 μB per cell, energy of formation from the pure elements 0.4 eV/f.u.. Number 15: total moment 0.00 μB per cell, energy of formation from the pure elements 0.0 eV/f.u.. Number 16: total moment 0.00 μB per cell, energy of formation from the pure elements 1.4 eV/f.u.. Number 17: total moment 0.00 μB per cell, energy of formation from the pure elements 0.3 eV/f.u.. Number 18: total moment 0.00 μB per cell, energy of formation from the pure elements 2.3 eV/f.u.. Number 19: total moment 0.02 μB per cell, energy of formation from the pure elements 2.4 eV/f.u.. Number 20: total moment 0.00 μB per cell, energy of formation from the pure elements 7.2 eV/f.u..